(1)
# SrLi2InIr PBE optimized geometry
# Volume = 24.8 A^3/atom
# Energy relative to the elements = -0.552 eV/f.u.
# DOS(E_F) = 0.515 states/eV per atom
data_SrLi2InIr
_chemical_formula_sum 'Sr1 Li2 In1 Ir1'
_space_group_name_H-M_alt 'P 4/m m m'
_space_group_IT_number 123
_space_group_name_Hall '-P 4 2'
_cell_length_a 4.901
_cell_length_b 4.901
_cell_length_c 5.153
_cell_angle_alpha 90.00
_cell_angle_beta 90.00
_cell_angle_gamma 90.00
loop_
_atom_site_label
_atom_site_type_symbol
_atom_site_fract_x
_atom_site_fract_y
_atom_site_fract_z
Sr1 Sr 0.000 0.000 0.000
Li1 Li 0.000 0.500 0.500
In1 In 0.500 0.500 0.000
Ir1 Ir 0.500 0.500 0.500

=====

(2)
# Sm5Ge3 PBE optimized geometry
# Volume = 26.9 A^3/atom
# Excess energy over the best structure of this formula in the dataset = 13 meV/atom
# Energy relative to the elements = -5.835 eV/f.u.
# DOS(E_F) = 0.942 states/eV per atom
data_Sm5Ge3
_chemical_formula_sum 'Sm20 Ge12'
_space_group_name_H-M_alt 'P 4/n c c'
_space_group_IT_number 130
_cell_length_a 11.505
_cell_length_b 11.505
_cell_length_c 6.501
_cell_angle_alpha 90.00
_cell_angle_beta 90.00
_cell_angle_gamma 90.00
loop_
_space_group_symop_operation_xyz
'x,y,z'
'-x,-y,-z'
'-y+1/2,x,z'
'y+1/2,-x,-z'
'-x+1/2,-y+1/2,z'
'x+1/2,y+1/2,-z'
'y,-x+1/2,z'
'-y,x+1/2,-z'
'x+1/2,-y,-z+1/2'
'-x+1/2,y,z+1/2'
'-y,-x,-z+1/2'
'y,x,z+1/2'
'-x,y+1/2,-z+1/2'
'x,-y+1/2,z+1/2'
'y+1/2,x+1/2,-z+1/2'
'-y+1/2,-x+1/2,z+1/2'
loop_
_atom_site_label
_atom_site_type_symbol
_atom_site_fract_x
_atom_site_fract_y
_atom_site_fract_z
Sm1 Sm 0.037 0.163 0.145
Sm2 Sm 0.250 0.750 0.000
Ge1 Ge 0.090 0.590 0.750
Ge2 Ge 0.250 0.250 0.402

=====

(3)
# La4Pm2Pb3Cl2 PBE optimized geometry
# Energy relative to the elements, uncorrected = -736 meV/atom
# Volume = 33.8 A^3/atom
# DOS(E_F) = 1.108 states/eV per atom
data_La4Pm2Pb3Cl2
_chemical_formula_sum 'La8 Pm4 Pb6 Cl4'
_space_group_name_H-M_alt 'I 4/m m m'
_space_group_IT_number 139
_space_group_name_Hall '-I 4 2'
_cell_length_a 5.462
_cell_length_b 5.462
_cell_length_c 24.912
_cell_angle_alpha 90.00
_cell_angle_beta 90.00
_cell_angle_gamma 90.00
loop_
_atom_site_label
_atom_site_type_symbol
_atom_site_fract_x
_atom_site_fract_y
_atom_site_fract_z
La1 La 0.000 0.500 0.087
Pm1 Pm 0.000 0.000 0.199
Pb1 Pb 0.000 0.000 0.326
Pb2 Pb 0.000 0.000 0.500
Cl1 Cl 0.000 0.000 0.077

=====

(4)
# PaTaSb PBE optimized geometry
# Energy relative to the elements, uncorrected = 57 meV/atom
# Volume = 22.9 A^3/atom
# Excess energy over the best structure of this formula in the dataset = 56 meV/atom
# DOS(E_F) = 1.670 states/eV per atom
data_PaTaSb
_chemical_formula_sum 'Pa1 Ta1 Sb1'
_space_group_name_H-M_alt 'P -6 m 2'
_space_group_IT_number 187
_space_group_name_Hall 'P -6 2'
_cell_length_a 5.0082
_cell_length_b 5.0082
_cell_length_c 3.1587
_cell_angle_alpha 90.00
_cell_angle_beta 90.00
_cell_angle_gamma 120.00
loop_
_atom_site_label
_atom_site_type_symbol
_atom_site_fract_x
_atom_site_fract_y
_atom_site_fract_z
Pa1 Pa 0.0000 0.0000 0.0000
Ta1 Ta 0.6667 0.3333 0.5000
Sb1 Sb 0.3333 0.6667 0.5000

=====

(5)
# Th2CoGe4Pt3 PBE optimized geometry
# Volume = 18.8 A^3/atom
# Energy relative to the elements = -8.533 eV/f.u.
# DOS(E_F) = 0.390 states/eV per atom
data_Th2CoGe4Pt3
_chemical_formula_sum 'Th2 Co1 Ge4 Pt3'
_space_group_name_H-M_alt 'P -4 m 2'
_space_group_IT_number 115
_cell_length_a 4.286
_cell_length_b 4.286
_cell_length_c 10.248
_cell_angle_alpha 90.00
_cell_angle_beta 90.00
_cell_angle_gamma 90.00
loop_
_space_group_symop_operation_xyz
'x,y,z'
'y,-x,-z'
'-x,-y,z'
'-y,x,-z'
'-x,y,z'
'-y,-x,-z'
'x,-y,z'
'y,x,-z'
loop_
_atom_site_label
_atom_site_type_symbol
_atom_site_fract_x
_atom_site_fract_y
_atom_site_fract_z
Th1 Th 0.000 0.500 0.239
Co1 Co 0.500 0.500 0.000
Ge1 Ge 0.000 0.000 0.500
Ge2 Ge 0.000 0.500 0.873
Ge3 Ge 0.500 0.500 0.500
Pt1 Pt 0.000 0.000 0.000
Pt2 Pt 0.000 0.500 0.631

=====

(6)
# BaLi3In PBE optimized geometry
# Volume = 29.9 A^3/atom
# Excess energy over the best structure of this formula in the dataset = 11 meV/atom
# Energy relative to the elements = -0.589 eV/f.u.
# DOS(E_F) = 0.083 states/eV per atom
data_BaLi3In
_chemical_formula_sum 'Ba1 Li3 In1'
_space_group_name_H-M_alt 'P m -3 m'
_space_group_IT_number 221
_space_group_name_Hall '-P 4 2 3'
_cell_length_a 5.305
_cell_length_b 5.305
_cell_length_c 5.305
_cell_angle_alpha 90.00
_cell_angle_beta 90.00
_cell_angle_gamma 90.00
loop_
_atom_site_label
_atom_site_type_symbol
_atom_site_fract_x
_atom_site_fract_y
_atom_site_fract_z
Ba1 Ba 0.000 0.000 0.000
Li1 Li 0.000 0.500 0.500
In1 In 0.500 0.500 0.500

=====

(7)
# Pm4Nd2DyEr PBE optimized geometry
# Volume = 34.3 A^3/atom
# Energy relative to the elements = 3.100 eV/f.u.
# DOS(E_F) = 2.162 states/eV per atom
data_Pm4Nd2DyEr
_chemical_formula_sum 'Pm16 Nd8 Dy4 Er4'
_space_group_name_H-M_alt 'C 1 2/c 1'
_space_group_IT_number 15
_cell_length_a 13.795
_cell_length_b 13.290
_cell_length_c 6.897
_cell_angle_alpha 90.00
_cell_angle_beta 119.74
_cell_angle_gamma 90.00
loop_
_space_group_symop_operation_xyz
'x,y,z'
'-x,-y,-z'
'-x,y,-z+1/2'
'x,-y,z+1/2'
'x+1/2,y+1/2,z'
'-x+1/2,-y+1/2,-z'
'-x+1/2,y+1/2,-z+1/2'
'x+1/2,-y+1/2,z+1/2'
loop_
_atom_site_label
_atom_site_type_symbol
_atom_site_fract_x
_atom_site_fract_y
_atom_site_fract_z
Pm1 Pm 0.011 0.247 0.012
Pm2 Pm 0.248 0.003 0.449
Nd1 Nd 0.000 0.500 0.000
Nd2 Nd 0.250 0.250 0.000
Dy1 Dy 0.000 0.000 0.000
Er1 Er 0.250 0.250 0.500

=====

(8)
# DyYMgCo PBE optimized geometry
# Volume = 23.4 A^3/atom
# Excess energy over the best structure of this formula in the dataset = 0 meV/atom
# Energy relative to the elements = -0.539 eV/f.u.
# DOS(E_F) = 0.826 states/eV per atom
data_DyYMgCo
_chemical_formula_sum 'Dy1 Y1 Mg1 Co1'
_space_group_name_H-M_alt 'P 4 m m'
_space_group_IT_number 99
_cell_length_a 3.414
_cell_length_b 3.414
_cell_length_c 8.041
_cell_angle_alpha 90.00
_cell_angle_beta 90.00
_cell_angle_gamma 90.00
loop_
_space_group_symop_operation_xyz
'x,y,z'
'-y,x,z'
'-x,-y,z'
'y,-x,z'
'-x,y,z'
'y,x,z'
'x,-y,z'
'-y,-x,z'
loop_
_atom_site_label
_atom_site_type_symbol
_atom_site_fract_x
_atom_site_fract_y
_atom_site_fract_z
Dy1 Dy 0.000 0.000 0.000
Y1 Y 0.000 0.000 0.596
Mg1 Mg 0.500 0.500 0.298
Co1 Co 0.500 0.500 0.801

=====

(9)
# LaPr2Th3 PBE optimized geometry
# Volume = 34.4 A^3/atom
# Energy relative to the elements = 1.211 eV/f.u.
# DOS(E_F) = 1.468 states/eV per atom
data_LaPr2Th3
_chemical_formula_sum 'La4 Pr8 Th12'
_space_group_name_H-M_alt 'C m c m'
_space_group_IT_number 63
_space_group_name_Hall '-C 2c 2'
_cell_length_a 10.397
_cell_length_b 11.588
_cell_length_c 6.846
_cell_angle_alpha 90.00
_cell_angle_beta 90.00
_cell_angle_gamma 90.00
loop_
_atom_site_label
_atom_site_type_symbol
_atom_site_fract_x
_atom_site_fract_y
_atom_site_fract_z
La1 La 0.000 0.230 0.250
Pr1 Pr 0.166 0.270 0.750
Th1 Th 0.000 0.500 0.000
Th2 Th 0.166 0.000 0.000

=====

(10)
# PmNd2PbN PBE optimized geometry
# Energy relative to the elements, uncorrected = -887 meV/atom
# Volume = 25.3 A^3/atom
# DOS(E_F) = 0.384 states/eV per atom
data_PmNd2PbN
_chemical_formula_sum 'Pm1 Nd2 Pb1 N1'
_space_group_name_H-M_alt 'P 4/m m m'
_space_group_IT_number 123
_space_group_name_Hall '-P 4 2'
_cell_length_a 5.039
_cell_length_b 5.039
_cell_length_c 4.991
_cell_angle_alpha 90.00
_cell_angle_beta 90.00
_cell_angle_gamma 90.00
loop_
_atom_site_label
_atom_site_type_symbol
_atom_site_fract_x
_atom_site_fract_y
_atom_site_fract_z
Pm1 Pm 0.000 0.000 0.000
Nd1 Nd 0.000 0.500 0.500
Pb1 Pb 0.500 0.500 0.000
N1 N 0.000 0.000 0.500

=====

(11)
# MgRhAu PBE optimized geometry
# Volume = 18.3 A^3/atom
# Excess energy over the best structure of this formula in the dataset = 336 meV/atom
# Energy relative to the elements = 0.008 eV/f.u.
# DOS(E_F) = 0.683 states/eV per atom
data_MgRhAu
_chemical_formula_sum 'Mg4 Rh4 Au4'
_space_group_name_H-M_alt 'F -4 3 m'
_space_group_IT_number 216
_space_group_name_Hall 'F -4 2 3'
_cell_length_a 6.030
_cell_length_b 6.030
_cell_length_c 6.030
_cell_angle_alpha 90.00
_cell_angle_beta 90.00
_cell_angle_gamma 90.00
loop_
_atom_site_label
_atom_site_type_symbol
_atom_site_fract_x
_atom_site_fract_y
_atom_site_fract_z
Mg1 Mg 0.000 0.000 0.000
Rh1 Rh 0.250 0.250 0.250
Au1 Au 0.250 0.250 0.750

=====

(12)
# CsZnGa PBE optimized geometry
# Volume = 30.9 A^3/atom
# Excess energy over the best structure of this formula in the dataset = 126 meV/atom
# Energy relative to the elements = 0.382 eV/f.u.
# DOS(E_F) = 0.500 states/eV per atom
data_CsZnGa
_chemical_formula_sum 'Cs2 Zn2 Ga2'
_space_group_name_H-M_alt 'I 4 m m'
_space_group_IT_number 107
_space_group_name_Hall 'I 4 -2'
_cell_length_a 3.702
_cell_length_b 3.702
_cell_length_c 13.525
_cell_angle_alpha 90.00
_cell_angle_beta 90.00
_cell_angle_gamma 90.00
loop_
_atom_site_label
_atom_site_type_symbol
_atom_site_fract_x
_atom_site_fract_y
_atom_site_fract_z
Cs1 Cs 0.000 0.000 0.000
Zn1 Zn 0.000 0.000 0.279
Ga1 Ga 0.000 0.000 0.719

=====

(13)
# CsNb4Br11 PBE optimized geometry
# Energy relative to the elements, uncorrected = -1013 meV/atom
# Volume = 29.6 A^3/atom
# DOS(E_F) = 0.084 states/eV per atom
data_CsNb4Br11
_chemical_formula_sum 'Cs2 Nb8 Br22'
_space_group_name_H-M_alt 'P m m a'
_space_group_IT_number 51
_cell_length_a 17.042
_cell_length_b 7.420
_cell_length_c 7.491
_cell_angle_alpha 90.00
_cell_angle_beta 90.00
_cell_angle_gamma 90.00
loop_
_space_group_symop_operation_xyz
'x,y,z'
'-x,-y,-z'
'-x+1/2,-y,z'
'x+1/2,y,-z'
'x+1/2,-y,-z'
'-x+1/2,y,z'
'-x,y,-z'
'x,-y,z'
loop_
_atom_site_label
_atom_site_type_symbol
_atom_site_fract_x
_atom_site_fract_y
_atom_site_fract_z
Cs1 Cs 0.250 0.000 0.013
Nb1 Nb 0.000 0.293 0.500
Nb2 Nb 0.139 0.500 0.617
Br1 Br 0.077 0.248 0.806
Br2 Br 0.085 0.000 0.373
Br3 Br 0.087 0.500 0.293
Br4 Br 0.250 0.266 0.489
Br5 Br 0.250 0.500 0.894

=====

(14)
# VTcGeB2 PBE optimized geometry
# Volume = 13.7 A^3/atom
# Energy relative to the elements = 6.830 eV/f.u.
# DOS(E_F) = 0.393 states/eV per atom
data_VTcGeB2
_chemical_formula_sum 'V1 Tc1 Ge1 B2'
_space_group_name_H-M_alt 'P 4/m m m'
_space_group_IT_number 123
_space_group_name_Hall '-P 4 2'
_cell_length_a 3.905
_cell_length_b 3.905
_cell_length_c 4.491
_cell_angle_alpha 90.00
_cell_angle_beta 90.00
_cell_angle_gamma 90.00
loop_
_atom_site_label
_atom_site_type_symbol
_atom_site_fract_x
_atom_site_fract_y
_atom_site_fract_z
V1 V 0.000 0.000 0.000
Tc1 Tc 0.500 0.500 0.500
Ge1 Ge 0.000 0.000 0.500
B1 B 0.000 0.500 0.000

=====

(15)
# AlIn2FePd PBE optimized geometry
# Volume = 24.7 A^3/atom
# Energy relative to the elements = 2.481 eV/f.u.
# DOS(E_F) = 0.808 states/eV per atom
data_AlIn2FePd
_chemical_formula_sum 'Al1 In2 Fe1 Pd1'
_space_group_name_H-M_alt 'P 4/m m m'
_space_group_IT_number 123
_space_group_name_Hall '-P 4 2'
_cell_length_a 5.126
_cell_length_b 5.126
_cell_length_c 4.698
_cell_angle_alpha 90.00
_cell_angle_beta 90.00
_cell_angle_gamma 90.00
loop_
_atom_site_label
_atom_site_type_symbol
_atom_site_fract_x
_atom_site_fract_y
_atom_site_fract_z
Al1 Al 0.000 0.000 0.000
In1 In 0.000 0.500 0.500
Fe1 Fe 0.500 0.500 0.000
Pd1 Pd 0.000 0.000 0.500

=====

(16)
# Pm4Sm2Dy PBE optimized geometry
# Volume = 34.3 A^3/atom
# Excess energy over the best structure of this formula in the dataset = 0 meV/atom
# Energy relative to the elements = 1.059 eV/f.u.
# DOS(E_F) = 1.384 states/eV per atom
data_Pm4Sm2Dy
_chemical_formula_sum 'Pm16 Sm8 Dy4'
_space_group_name_H-M_alt 'C m c e'
_space_group_IT_number 64
_space_group_name_Hall '-C 2ac 2'
_cell_length_a 5.394
_cell_length_b 11.439
_cell_length_c 15.586
_cell_angle_alpha 90.00
_cell_angle_beta 90.00
_cell_angle_gamma 90.00
loop_
_atom_site_label
_atom_site_type_symbol
_atom_site_fract_x
_atom_site_fract_y
_atom_site_fract_z
Pm1 Pm 0.000 0.101 0.194
Pm2 Pm 0.000 0.206 0.430
Sm1 Sm 0.000 0.106 0.657
Dy1 Dy 0.000 0.000 0.000

=====

(17)
# KNdCd4 PBE optimized geometry
# Volume = 27.2 A^3/atom
# Energy relative to the elements = -0.609 eV/f.u.
# DOS(E_F) = 1.016 states/eV per atom
data_KNdCd4
_chemical_formula_sum 'K4 Nd4 Cd16'
_space_group_name_H-M_alt 'F -4 3 m'
_space_group_IT_number 216
_space_group_name_Hall 'F -4 2 3'
_cell_length_a 8.673
_cell_length_b 8.673
_cell_length_c 8.673
_cell_angle_alpha 90.00
_cell_angle_beta 90.00
_cell_angle_gamma 90.00
loop_
_atom_site_label
_atom_site_type_symbol
_atom_site_fract_x
_atom_site_fract_y
_atom_site_fract_z
K1 K 0.000 0.000 0.000
Nd1 Nd 0.250 0.250 0.750
Cd1 Cd 0.124 0.124 0.376

=====

(18)
# Pd3Au13 PBE optimized geometry
# Volume = 17.5 A^3/atom
# Energy relative to the elements = -0.801 eV/f.u.
# DOS(E_F) = 0.189 states/eV per atom
data_Pd3Au13
_chemical_formula_sum 'Pd6 Au26'
_space_group_name_H-M_alt 'A m m 2'
_space_group_IT_number 38
_cell_length_a 8.515
_cell_length_b 7.814
_cell_length_c 8.406
_cell_angle_alpha 90.00
_cell_angle_beta 90.00
_cell_angle_gamma 90.00
loop_
_space_group_symop_operation_xyz
'x,y,z'
'-x,-y,z'
'-x,y,z'
'x,-y,z'
'x,y+1/2,z+1/2'
'-x,-y+1/2,z+1/2'
'-x,y+1/2,z+1/2'
'x,-y+1/2,z+1/2'
loop_
_atom_site_label
_atom_site_type_symbol
_atom_site_fract_x
_atom_site_fract_y
_atom_site_fract_z
Pd1 Pd 0.000 0.000 0.000
Pd2 Pd 0.250 0.000 0.253
Au1 Au 0.000 0.000 0.499
Au2 Au 0.000 0.245 0.250
Au3 Au 0.247 0.000 0.753
Au4 Au 0.248 0.248 0.003
Au5 Au 0.500 0.000 0.006
Au6 Au 0.500 0.000 0.501
Au7 Au 0.500 0.249 0.253

=====

(19)
# Cr3Co PBE optimized geometry
# Volume = 11.3 A^3/atom
# Energy relative to the elements = 0.686 eV/f.u.
# DOS(E_F) = 1.428 states/eV per atom
data_Cr3Co
_chemical_formula_sum 'Cr3 Co1'
_space_group_name_H-M_alt 'P m -3 m'
_space_group_IT_number 221
_space_group_name_Hall '-P 4 2 3'
_cell_length_a 3.566
_cell_length_b 3.566
_cell_length_c 3.566
_cell_angle_alpha 90.00
_cell_angle_beta 90.00
_cell_angle_gamma 90.00
loop_
_atom_site_label
_atom_site_type_symbol
_atom_site_fract_x
_atom_site_fract_y
_atom_site_fract_z
Cr1 Cr 0.000 0.000 0.500
Co1 Co 0.500 0.500 0.500